Record 1
A geometry-optimized TaSi2Sb structure, computed with PBE-GGA.

Structure (POSCAR):
```
TaSi2Sb
1.0
1.9874 -2.3462 0.0000
1.9874 2.3462 0.0000
0.0000 0.0000 7.9322
Ta Si Sb
1 2 1
Cartesian
0.0000 0.0000 0.0000
1.9874 0.0000 1.7125
1.9874 0.0000 6.2198
0.0000 0.0000 3.9661
```

**Formation energy without anion corrections**: 24.3 kJ/mol of atoms
**Fermi-level density of states**: 2.288 states/eV/cell

=====

Record 2
A geometry-optimized Ta2SiSb structure, computed with PBE-GGA.

Structure (POSCAR):
```
Ta2SiSb
1.0
4.6300 0.0000 0.0000
0.0000 4.6300 0.0000
0.0000 0.0000 3.3393
Ta Si Sb
2 1 1
Cartesian
0.0000 2.3150 0.0000
2.3150 0.0000 0.0000
0.0000 0.0000 1.6696
2.3150 2.3150 1.6696
```

**Formation energy without anion corrections**: 12.4 kJ/mol of atoms
**Fermi-level density of states**: 2.291 states/eV/cell
**Energy relative to the lowest polymorph listed for this composition**: 0.287 eV per atom

=====

Record 3
A geometry-optimized Ta2SiSb structure, computed with PBE-GGA.

Structure (POSCAR):
```
Ta2SiSb
1.0
4.6257 -1.6669 0.0000
4.6257 1.6669 0.0000
-0.3929 0.0000 4.8289
Ta Si Sb
2 1 1
Cartesian
2.1517 0.0000 1.2844
6.7067 0.0000 3.5445
-0.1965 0.0000 2.4145
4.6257 0.0000 0.0000
```

**Formation energy without anion corrections**: 11.7 kJ/mol of atoms
**Fermi-level density of states**: 2.513 states/eV/cell
**Energy relative to the lowest polymorph listed for this composition**: 0.279 eV per atom

=====

Record 4
A geometry-optimized TaSi2Sb structure, computed with PBE-GGA.

Structure (POSCAR):
```
TaSi2Sb
1.0
-2.0190 2.0190 4.3714
2.0190 -2.0190 4.3714
2.0190 2.0190 -4.3714
Ta Si Sb
1 2 1
Cartesian
0.0000 0.0000 0.0000
2.0190 0.0000 2.1857
0.0000 2.0190 2.1857
0.0000 0.0000 4.3714
```

**Formation energy without anion corrections**: 46.4 kJ/mol of atoms
**Fermi-level density of states**: 2.533 states/eV/cell